1.
Below is a relaxed ZrTi4Sb2 crystal, with properties calculated at the PBE level.

a b c (Å): 8.817 8.817 3.664
angles (deg): 90.00 90.00 90.00
Space group P4_2/mnm (No. 136)
Inequivalent atoms, fractional coordinates:
1 Zr 0.000 0.000 0.000 x2
2 Ti 0.079 0.346 0.500 x8
3 Sb 0.191 0.809 0.500 x4

Summary:
Total magnetization in μB per formula unit: 0.0
Formation energy without anion corrections in eV/atom: -0.31
Offset from the most stable computed form in meV per atom: 0

=====

2.
Below is a relaxed Zr5Ti5Sb6 crystal, with properties calculated at the PBE level.

a b c (Å): 5.735 14.637 8.190
angles (deg): 90.00 90.00 90.00
Space group Amm2 (No. 38)
Inequivalent atoms, fractional coordinates:
1 Zr 0.000 0.000 0.000 x2
2 Zr 0.252 0.165 0.742 x8
3 Ti 0.000 0.133 0.373 x4
4 Ti 0.500 0.000 0.508 x2
5 Ti 0.500 0.140 0.099 x4
6 Sb 0.000 0.000 0.613 x2
7 Sb 0.000 0.193 0.054 x4
8 Sb 0.500 0.000 0.872 x2
9 Sb 0.500 0.184 0.423 x4

Summary:
Total magnetization in μB per formula unit: 2.4
Formation energy without anion corrections in eV/atom: -0.49

=====

3.
Below is a relaxed ZrTi2Sb crystal, with properties calculated at the PBE level.

a b c (Å): 4.409 4.409 3.945
angles (deg): 90.00 90.00 90.00
Space group P4/mmm (No. 123)
Inequivalent atoms, fractional coordinates:
1 Zr 0.000 0.000 0.000 x1
2 Ti 0.000 0.500 0.500 x2
3 Sb 0.500 0.500 0.000 x1

Summary:
Total magnetization in μB per formula unit: 0.0
Formation energy without anion corrections in eV/atom: -0.36

=====

4.
Below is a relaxed ZrTiSb3 crystal, with properties calculated at the PBE level.

a b c (Å): 5.205 5.205 5.205
angles (deg): 90.00 90.00 90.00
Space group Pm-3m (No. 221)
Inequivalent atoms, fractional coordinates:
1 Zr 0.000 0.000 0.000 x1
2 Ti 0.500 0.500 0.500 x1
3 Sb 0.000 0.500 0.500 x3

Summary:
Total magnetization in μB per formula unit: 1.2
Formation energy without anion corrections in eV/atom: 0.40
Offset from the most stable computed form in meV per atom: 0

=====

5.
Below is a relaxed Zr2TiSb2 crystal, with properties calculated at the PBE level.

a b c (Å): 7.449 7.449 3.956
angles (deg): 90.00 90.00 90.00
Space group P4/mbm (No. 127)
Inequivalent atoms, fractional coordinates:
1 Zr 0.157 0.343 0.000 x4
2 Ti 0.000 0.000 0.500 x2
3 Sb 0.147 0.647 0.500 x4

Summary:
Total magnetization in μB per formula unit: 0.0
Formation energy without anion corrections in eV/atom: -0.54
Offset from the most stable computed form in meV per atom: 13

=====

6.
Below is a relaxed Zr2TiSb2 crystal, with properties calculated at the PBE level.

a b c (Å): 4.175 4.175 13.682
angles (deg): 90.00 90.00 90.00
Space group I4/mmm (No. 139)
Inequivalent atoms, fractional coordinates:
1 Zr 0.000 0.500 0.250 x4
2 Ti 0.000 0.000 0.000 x2
3 Sb 0.000 0.000 0.399 x4

Summary:
Total magnetization in μB per formula unit: 0.0
Formation energy without anion corrections in eV/atom: -0.01
Offset from the most stable computed form in meV per atom: 546